Record 1
Compound: UGaW
Source: OQMD via LeMat-Bulk
Functional: GGA-PBE
Structure: relaxed

abc: 4.5473 4.5473 4.5473
angles: 60.00 60.00 60.00
Positions (direct):
Ga (0.2500, 0.2500, 0.2500)
W (0.7500, 0.7500, 0.7500)
U (0.0000, 0.0000, 0.0000)

Values from the calculation:
- size of the total moment (μB per formula unit) = 0.07
- space group = No. 216
- calculated total energy (eV/cell) = -23.58

=====

Record 2
Compound: Rb2Pt2O5
Source: OQMD via LeMat-Bulk
Functional: GGA-PBE
Structure: relaxed

abc: 10.7268 3.9844 3.9844
angles: 90.00 90.00 90.00
Last column: magnetic moment on the atom in μB.
Positions (direct):
Pt (0.0000, 0.0000, 0.0000)  -0.04
Rb (0.7384, 0.5000, 0.5000)  0.00
O (0.0690, 0.0000, 0.5000)  0.00
O (0.9310, 0.0000, 0.5000)  0.00
O (0.9310, 0.5000, 0.0000)  0.00
O (0.0690, 0.5000, 0.0000)  0.00
Rb (0.2616, 0.5000, 0.5000)  0.00
O (0.5000, 0.5000, 0.5000)  0.02
Pt (0.5000, 0.0000, 0.0000)  0.09

Values from the calculation:
- size of the total moment (μB per formula unit) = 0.06
- space group = No. 123
- calculated total energy (eV/cell) = -36.85